1.
Material: KBaHf2Ta
Method: DFT, PBE
State: optimized geometry

Summary:
Uncorrected energy   -29.7 eV/cell
Symmetry   No. 123
Magnetic moment   0.00 μB per cell
Formation enthalpy at 0 K   5.07 eV per formula unit

POSCAR file:
```
KBaHf2Ta
1.0
5.296 0.000 0.000
0.000 5.296 0.000
0.000 0.000 6.377
K Ba Hf Ta
1 1 2 1
direct
0.000 0.000 0.000 K
0.500 0.500 0.000 Ba
0.000 0.500 0.500 Hf
0.500 0.000 0.500 Hf
0.500 0.500 0.500 Ta
```



2.
Material: La12YEr7
Method: DFT, PBE
State: optimized geometry

Summary:
Uncorrected energy   -93.6 eV/cell
Symmetry   No. 148
Magnetic moment   0.00 μB per cell
Distance to the lowest polymorph of the same formula   0.003 eV per atom
Formation enthalpy at 0 K   3.96 eV per formula unit

POSCAR file:
```
La12YEr7
1.0
9.787 5.651 2.119
-9.787 5.651 2.119
0.000 -11.302 2.119
La Y Er
12 1 7
direct
0.073 0.426 0.427 La
0.091 0.499 0.907 La
0.093 0.909 0.501 La
0.426 0.427 0.073 La
0.427 0.073 0.426 La
0.499 0.907 0.091 La
0.501 0.093 0.909 La
0.573 0.927 0.574 La
0.574 0.573 0.927 La
0.907 0.091 0.499 La
0.909 0.501 0.093 La
0.927 0.574 0.573 La
0.000 0.000 0.000 Y
0.115 0.115 0.362 Er
0.115 0.362 0.115 Er
0.362 0.115 0.115 Er
0.500 0.500 0.500 Er
0.638 0.885 0.885 Er
0.885 0.638 0.885 Er
0.885 0.885 0.638 Er
```